Material: Fe5Cu
Method: DFT, PBE-GGA
State: relaxed

Computed properties:
- Energy: -91.66 eV per cell
- ΔH_f (0 K): 97 meV per atom

Geometry as CIF:
```
data_Fe5Cu
_symmetry_space_group_name_H-M 'C m m m'
_symmetry_Int_Tables_number 65
_symmetry_space_group_name_Hall '-C 2 2'
_cell_length_a 4.023
_cell_length_b 12.020
_cell_length_c 2.903
_cell_angle_alpha 90.00
_cell_angle_beta 90.00
_cell_angle_gamma 90.00
loop_
_atom_site_label
_atom_site_fract_x
_atom_site_fract_y
_atom_site_fract_z
Fe1 0.000 0.000 0.000
Fe2 0.000 0.165 0.500
Fe3 0.000 0.330 0.000
Cu1 0.000 0.500 0.500
```